# 1
Material: LiSb
Method: DFT, PBE-GGA
State: relaxed

The value obtained for the density of states at the Fermi level is 1.255 states/eV/f.u. The total energy comes out at -12.3 eV for the cell shown.

The structure belongs to space group P-3m1 (No. 164); the cell edges are 3.2275, 3.2275 and 10.6338 Å and the angles 90.00°, 90.00° and 120.00°. The inequivalent atoms are Li at (0.3333, 0.6667, 0.1212) and Sb at (0.3333, 0.6667, 0.6666).


# 2
Material: Li2Sb
Method: DFT, PBE-GGA
State: relaxed

The value obtained for the density of states at the Fermi level is 1.355 states/eV/f.u. The total energy comes out at -18.9 eV for the cell shown.

The structure belongs to space group P6_3/mmc (No. 194); the cell edges are 4.7231, 4.7231 and 5.9812 Å and the angles 90.00°, 90.00° and 120.00°. The inequivalent atoms are Li at (0.0000, 0.0000, 0.0000), Li at (0.3333, 0.6667, 0.2500) and Sb at (0.3333, 0.6667, 0.7500).